1.
A relaxed structure of Mg2Hg2S. Source: Alexandria via LeMat-Bulk, functional GGA-PBE.

Formation energy (no corrections) ... -0.367 eV per atom
Size of the total moment ... 0.0 μB per formula unit

abc: 6.834 6.834 4.934
angles: 90.00 90.00 90.00
Space group P4/mbm (No. 127)
One atom of each set of equivalent atoms:
Mg1 0.165 0.335 0.000 (multiplicity 4)
Hg1 0.157 0.657 0.500 (multiplicity 4)
S1 0.000 0.000 0.000 (multiplicity 2)


2.
A relaxed structure of CdO2F. Source: Alexandria via LeMat-Bulk, functional GGA-PBE.

Relative energy among the computed polymorphs ... 926.6 meV per atom
Formation energy (no corrections) ... 0.047 eV per atom
Size of the total moment ... 3.0 μB per formula unit

abc: 5.652 5.652 5.652
angles: 90.00 90.00 90.00
Space group Fm-3m (No. 225)
One atom of each set of equivalent atoms:
Cd1 0.000 0.000 0.000 (multiplicity 4)
O1 0.250 0.250 0.250 (multiplicity 8)
F1 0.000 0.000 0.500 (multiplicity 4)


3.
A relaxed structure of Y2MnAl12Co3. Source: Alexandria via LeMat-Bulk, functional GGA-PBE.

Formation energy from the elements ... -0.0557 eV per atom
Size of the total moment ... 1.6 μB per formula unit

abc: 5.7477 5.7477 33.1227
angles: 90.00 90.00 120.00
Space group R-3m (No. 166, hexagonal axes)
One atom of each set of equivalent atoms:
Y1 0.0000 0.0000 0.1384 (multiplicity 6)
Mn1 0.0000 0.0000 0.5000 (multiplicity 3)
Al1 0.0021 0.5011 0.8875 (multiplicity 18)
Al2 0.0205 0.5102 0.6181 (multiplicity 18)
Co1 0.0000 0.5000 0.0000 (multiplicity 9)


4.
A relaxed structure of K3LaZn. Source: Alexandria via LeMat-Bulk, functional GGA-PBE.

Formation energy from the elements ... 0.9558 eV per atom
Size of the total moment ... 4.0 μB per formula unit

abc: 7.431 7.431 7.431
angles: 90.00 90.00 90.00
Space group Pm-3m (No. 221)
One atom of each set of equivalent atoms:
K1 0.000 0.000 0.500 (multiplicity 3)
La1 0.000 0.000 0.000 (multiplicity 1)
Zn1 0.500 0.500 0.500 (multiplicity 1)


5.
A relaxed structure of Ag5Sb. Source: Alexandria via LeMat-Bulk, functional GGA-PBE.

Relative energy among the computed polymorphs ... 100.9 meV per atom
Formation energy (no corrections) ... 0.131 eV per atom
Size of the total moment ... 0.0 μB per formula unit

abc: 7.850 7.850 7.850
angles: 90.00 90.00 90.00
Space group F-43m (No. 216)
One atom of each set of equivalent atoms:
Ag1 0.000 0.000 0.000 (multiplicity 4)
Ag2 0.125 0.125 0.625 (multiplicity 16)
Sb1 0.250 0.250 0.250 (multiplicity 4)


6.
A relaxed structure of Y2BeHgOs. Source: Alexandria via LeMat-Bulk, functional GGA-PBE.

Formation energy from the elements ... 0.9165 eV per atom
Size of the total moment ... 0.2 μB per formula unit

abc: 5.498 5.498 4.172
angles: 90.00 90.00 90.00
Space group P4/mmm (No. 123)
One atom of each set of equivalent atoms:
Y1 0.000 0.500 0.000 (multiplicity 2)
Be1 0.000 0.000 0.500 (multiplicity 1)
Hg1 0.000 0.000 0.000 (multiplicity 1)
Os1 0.500 0.500 0.500 (multiplicity 1)


7.
A relaxed structure of CeMg10Ag2. Source: Alexandria via LeMat-Bulk, functional GGA-PBE.

Formation energy from the elements ... -0.0852 eV per atom
Size of the total moment ... 1.1 μB per formula unit

abc: 5.690 14.365 14.365
angles: 90.00 90.00 90.00
Space group Fmmm (No. 69)
One atom of each set of equivalent atoms:
Ce1 0.000 0.000 0.000 (multiplicity 4)
Mg1 0.000 0.111 0.397 (multiplicity 16)
Mg2 0.000 0.180 0.168 (multiplicity 16)
Mg3 0.250 0.000 0.250 (multiplicity 8)
Ag1 0.250 0.250 0.000 (multiplicity 8)


8.
A relaxed structure of GeBi2Se5. Source: Alexandria via LeMat-Bulk, functional GGA-PBE.

Formation energy (no corrections) ... -0.152 eV per atom
Size of the total moment ... 0.0 μB per formula unit

abc: 5.872 14.762 12.142
angles: 90.00 90.00 90.00
Space group Cmcm (No. 63)
One atom of each set of equivalent atoms:
Ge1 0.000 0.185 0.250 (multiplicity 4)
Bi1 0.000 0.172 0.573 (multiplicity 8)
Se1 0.000 0.030 0.097 (multiplicity 8)
Se2 0.000 0.303 0.750 (multiplicity 4)
Se3 0.000 0.310 0.097 (multiplicity 8)


9.
A relaxed structure of SnPt3. Source: Alexandria via LeMat-Bulk, functional GGA-PBE.

Formation energy from the elements ... -0.3991 eV per atom
Size of the total moment ... 0.0 μB per formula unit

abc: 4.060 4.060 4.060
angles: 90.00 90.00 90.00
Space group Pm-3m (No. 221)
One atom of each set of equivalent atoms:
Sn1 0.000 0.000 0.000 (multiplicity 1)
Pt1 0.000 0.500 0.500 (multiplicity 3)


10.
A relaxed structure of Ta2MnGa2. Source: Alexandria via LeMat-Bulk, functional GGA-PBE.

Formation energy from the elements ... -0.1018 eV per atom
Size of the total moment ... 1.8 μB per formula unit

abc: 6.466 6.466 3.793
angles: 90.00 90.00 90.00
Space group P4/mbm (No. 127)
One atom of each set of equivalent atoms:
Ta1 0.169 0.331 0.000 (multiplicity 4)
Mn1 0.000 0.000 0.500 (multiplicity 2)
Ga1 0.135 0.635 0.500 (multiplicity 4)


11.
A relaxed structure of Pm2UPaN6. Source: Alexandria via LeMat-Bulk, functional GGA-PBE.

Formation energy (no corrections) ... -1.345 eV per atom
Size of the total moment ... 0.0 μB per formula unit

abc: 6.0100 6.0100 14.7143
angles: 90.00 90.00 120.00
Space group R3 (No. 146, hexagonal axes)
One atom of each set of equivalent atoms:
Pm1 0.0000 0.0000 0.0000 (multiplicity 3)
Pm2 0.0000 0.0000 0.4995 (multiplicity 3)
U1 0.0000 0.0000 0.7694 (multiplicity 3)
Pa1 0.0000 0.0000 0.2674 (multiplicity 3)
N1 0.0131 0.4061 0.0306 (multiplicity 9)
N2 0.0293 0.6175 0.5281 (multiplicity 9)


12.
A relaxed structure of Re2TeW. Source: Alexandria via LeMat-Bulk, functional GGA-PBE.

Formation energy (no corrections) ... 0.490 eV per atom
Size of the total moment ... 0.0 μB per formula unit

abc: 3.099 3.099 6.981
angles: 90.00 90.00 90.00
Space group P4mm (No. 99)
One atom of each set of equivalent atoms:
Re1 0.000 0.000 0.000 (multiplicity 1)
Re2 0.500 0.500 0.229 (multiplicity 1)
Te1 0.000 0.000 0.497 (multiplicity 1)
W1 0.500 0.500 0.759 (multiplicity 1)


13.
A relaxed structure of Ho5Sc12In2. Source: Alexandria via LeMat-Bulk, functional GGA-PBE.

Formation energy from the elements ... -0.0042 eV per atom
Size of the total moment ... 0.0 μB per formula unit

abc: 14.748 8.609 7.847
angles: 90.00 91.22 90.00
Space group C2/m (No. 12)
One atom of each set of equivalent atoms:
Ho1 0.000 0.000 0.000 (multiplicity 2)
Ho2 0.197 0.500 0.503 (multiplicity 4)
Ho3 0.237 0.000 0.077 (multiplicity 4)
Sc1 0.051 0.500 0.831 (multiplicity 4)
Sc2 0.084 0.000 0.390 (multiplicity 4)
Sc3 0.126 0.305 0.164 (multiplicity 8)
Sc4 0.149 0.183 0.740 (multiplicity 8)
In1 0.000 0.316 0.500 (multiplicity 4)


14.
A relaxed structure of K2PaOsO8. Source: Alexandria via LeMat-Bulk, functional GGA-PBE.

Formation energy (no corrections) ... -1.769 eV per atom
Size of the total moment ... 0.8 μB per formula unit

abc: 5.666 6.641 5.716
angles: 90.00 91.54 90.00
Space group P2/m (No. 10)
One atom of each set of equivalent atoms:
K1 0.000 0.241 0.000 (multiplicity 2)
Pa1 0.500 0.500 0.500 (multiplicity 1)
Os1 0.500 0.000 0.500 (multiplicity 1)
O1 0.260 0.500 0.256 (multiplicity 2)
O2 0.275 0.000 0.271 (multiplicity 2)
O3 0.340 0.215 0.655 (multiplicity 4)


15.
A relaxed structure of Mg2ZnIn2. Source: Alexandria via LeMat-Bulk, functional GGA-PBE.

Formation energy from the elements ... -0.0370 eV per atom
Relative energy among the computed polymorphs ... 0.0 meV per atom
Size of the total moment ... 0.0 μB per formula unit

abc: 3.225 4.437 15.468
angles: 90.00 90.00 90.00
Space group Amm2 (No. 38)
One atom of each set of equivalent atoms:
Mg1 0.000 0.000 0.000 (multiplicity 2)
Mg2 0.000 0.000 0.219 (multiplicity 2)
Zn1 0.500 0.000 0.425 (multiplicity 2)
In1 0.500 0.000 0.610 (multiplicity 2)
In2 0.500 0.000 0.817 (multiplicity 2)